VASP calculation (GGA-PBE) on an optimized crystal structure of KNi2H4.

Lattice parameters (Å, degrees): 4.7593 4.7594 9.1961 104.87 104.57 90.11
Positions (direct):
K: 0.1223 0.3761 0.2500
K: 0.8777 0.6239 0.7500
Ni: 0.0000 0.0000 0.5000
Ni: 0.5000 0.0000 0.0000
Ni: 0.5000 0.0000 0.5000
Ni: 0.5000 0.5000 0.0000
H: 0.2617 0.7918 0.5257
H: 0.2625 0.2337 0.5256
H: 0.2665 0.2371 0.9742
H: 0.2914 0.7619 0.0255
H: 0.7086 0.2381 0.9745
H: 0.7335 0.7629 0.0258
H: 0.7375 0.7663 0.4744
H: 0.7383 0.2082 0.4743

Properties
symmetry: P-1
density of states at the Fermi level: 3.8 states/eV/f.u.
total magnetization: 0.30 μB per formula unit
DFT total energy: -3.743 eV per atom


VASP calculation (GGA-PBE) on an optimized crystal structure of K2NiH5.

Lattice parameters (Å, degrees): 5.7330 5.7330 7.7900 90.00 90.00 90.00
Positions (direct):
K: 0.0000 0.5000 0.0000
K: 0.0000 0.5000 0.5000
K: 0.5000 0.0000 0.0000
K: 0.5000 0.0000 0.5000
Ni: 0.0000 0.0000 0.2640
Ni: 0.5000 0.5000 0.7640
H: 0.0000 0.0000 0.4641
H: 0.1884 0.1884 0.2495
H: 0.1884 0.8116 0.2495
H: 0.3116 0.3116 0.7495
H: 0.3116 0.6884 0.7495
H: 0.5000 0.5000 0.9641
H: 0.6884 0.3116 0.7495
H: 0.6884 0.6884 0.7495
H: 0.8116 0.1884 0.2495
H: 0.8116 0.8116 0.2495

Properties
symmetry: I4mm
excess energy over the best structure of this formula in the dataset: 5.9 kJ per mole of atoms
density of states at the Fermi level: 1.0 states/eV/f.u.
total magnetization: 1.00 μB per formula unit
DFT total energy: -3.223 eV per atom


VASP calculation (GGA-PBE) on an optimized crystal structure of KNi2H2.

Lattice parameters (Å, degrees): 3.4674 3.4674 11.3237 90.00 90.00 90.00
Positions (direct):
K: 0.0000 0.0000 0.0000
K: 0.5000 0.5000 0.5000
Ni: 0.0000 0.0000 0.2635
Ni: 0.0000 0.0000 0.7365
Ni: 0.5000 0.5000 0.2365
Ni: 0.5000 0.5000 0.7635
H: 0.0000 0.5000 0.2500
H: 0.0000 0.5000 0.7500
H: 0.5000 0.0000 0.2500
H: 0.5000 0.0000 0.7500

Properties
symmetry: I4/mmm
density of states at the Fermi level: 1.5 states/eV/f.u.
total magnetization: 0.00 μB per formula unit
DFT total energy: -3.840 eV per atom


VASP calculation (GGA-PBE) on an optimized crystal structure of KNiH5.

Lattice parameters (Å, degrees): 5.4625 5.4625 5.4625 111.45 105.60 111.43
Positions (direct):
K: 0.2505 0.0005 0.2500
K: 0.7495 0.9995 0.7500
Ni: 0.0000 0.5000 0.5000
Ni: 0.5000 0.5000 0.0000
H: 0.1893 0.5003 0.3105
H: 0.1893 0.8788 0.6890
H: 0.2498 0.4998 0.7500
H: 0.3103 0.1212 0.8105
H: 0.3103 0.4997 0.1890
H: 0.6897 0.5003 0.8110
H: 0.6897 0.8788 0.1895
H: 0.7502 0.5002 0.2500
H: 0.8107 0.1212 0.3110
H: 0.8107 0.4997 0.6895

Properties
symmetry: Imma
density of states at the Fermi level: 0.9 states/eV/f.u.
total magnetization: 0.00 μB per formula unit
DFT total energy: -3.371 eV per atom


VASP calculation (GGA-PBE) on an optimized crystal structure of K2NiH.

Lattice parameters (Å, degrees): 7.6903 7.6903 7.6903 90.00 90.00 90.00
Positions (direct):
K: 0.2500 0.2500 0.2500
K: 0.2500 0.2500 0.7500
K: 0.2500 0.7500 0.2500
K: 0.2500 0.7500 0.7500
K: 0.7500 0.2500 0.2500
K: 0.7500 0.2500 0.7500
K: 0.7500 0.7500 0.2500
K: 0.7500 0.7500 0.7500
Ni: 0.0000 0.0000 0.0000
Ni: 0.0000 0.5000 0.5000
Ni: 0.5000 0.0000 0.5000
Ni: 0.5000 0.5000 0.0000
H: 0.0000 0.0000 0.5000
H: 0.0000 0.5000 0.0000
H: 0.5000 0.0000 0.0000
H: 0.5000 0.5000 0.5000

Properties
symmetry: Fm-3m
excess energy over the best structure of this formula in the dataset: 6.9 kJ per mole of atoms
density of states at the Fermi level: 9.3 states/eV/f.u.
total magnetization: 0.98 μB per formula unit
DFT total energy: -2.191 eV per atom


VASP calculation (GGA-PBE) on an optimized crystal structure of K2NpNi3H12.

Lattice parameters (Å, degrees): 6.0677 6.0677 6.0677 66.66 66.66 66.66
Positions (direct):
K: 0.1093 0.1093 0.1093
K: 0.8907 0.8907 0.8907
Np: 0.5000 0.5000 0.5000
Ni: 0.0000 0.5000 0.5000
Ni: 0.5000 0.0000 0.5000
Ni: 0.5000 0.5000 0.0000
H: 0.0866 0.6214 0.6214
H: 0.2364 0.2364 0.5755
H: 0.2364 0.5755 0.2364
H: 0.3786 0.3786 0.9134
H: 0.3786 0.9134 0.3786
H: 0.4245 0.7636 0.7636
H: 0.5755 0.2364 0.2364
H: 0.6214 0.0866 0.6214
H: 0.6214 0.6214 0.0866
H: 0.7636 0.4245 0.7636
H: 0.7636 0.7636 0.4245
H: 0.9134 0.3786 0.3786

Properties
symmetry: R-3m
density of states at the Fermi level: 10.4 states/eV/f.u.
total magnetization: 4.51 μB per formula unit
DFT total energy: -4.164 eV per atom